This record from Alexandria describes an optimized crystal structure of NaPt2Pb2. The functional is PBE.

Results
Its energy above the most stable polymorph in this dataset is 69.3 meV/atom. As for the energy relative to the elements: -0.1101 eV per atom.

```
NaPt2Pb2
1.0
8.217 0.000 0.000
0.000 8.217 0.000
0.000 0.000 3.357
Pb Na Pt
4 2 4
Cartesian
2.906 7.014 0.000 Pb
7.014 5.310 0.000 Pb
5.310 1.202 0.000 Pb
1.202 2.906 0.000 Pb
0.000 0.000 0.000 Na
4.108 4.108 0.000 Na
1.236 5.345 1.679 Pt
5.345 6.980 1.679 Pt
6.980 2.872 1.679 Pt
2.872 1.236 1.679 Pt
```

=====

This record from Alexandria describes an optimized crystal structure of NaPt3Pb3. The functional is PBE.

Results
Its energy above the most stable polymorph in this dataset is 0.0 meV/atom. As for the energy relative to the elements: -0.1696 eV per atom.

```
NaPt3Pb3
1.0
-7.080 2.601 -3.729
-7.306 -0.305 4.164
-3.922 5.875 2.052
Na Pt Pb
2 6 6
Cartesian
-8.726 6.590 2.177 Na
-9.582 1.582 0.309 Na
-6.998 1.746 1.637 Pt
-9.617 3.505 -1.875 Pt
-11.647 2.323 2.220 Pt
-6.661 5.848 0.266 Pt
-8.691 4.666 4.361 Pt
-11.310 6.425 0.849 Pt
-11.358 4.870 3.330 Pb
-9.229 6.161 -1.105 Pb
-6.354 4.272 2.641 Pb
-11.954 3.899 -0.155 Pb
-9.079 2.010 3.591 Pb
-6.950 3.301 -0.844 Pb
```